Material: Ca2AlSe
Method: DFT, PBE
State: optimized geometry

Results
Relative energy among the computed polymorphs = 160 meV/atom
Uncorrected formation energy = -723 meV per atom

Cell: 6.706 8.335 3.621 Å, 90.00 90.00 90.00°
Space group Cmmm (No. 65)
Inequivalent atoms, fractional coordinates:
Ca1 0.250 0.250 0.000 [4 per cell]
Al1 0.000 0.000 0.500 [2 per cell]
Se1 0.000 0.500 0.500 [2 per cell]

=====

Material: DyY2Tm
Method: DFT, PBE
State: optimized geometry

Results
Relative energy among the computed polymorphs = 12 meV/atom
ΔE_f = 2.5 kJ/mol of atoms

Cell: 5.012 5.012 10.020 Å, 90.00 90.00 90.00°
Space group I4/mmm (No. 139)
Inequivalent atoms, fractional coordinates:
Dy1 0.000 0.000 0.000 [2 per cell]
Y1 0.000 0.500 0.250 [4 per cell]
Tm1 0.000 0.000 0.500 [2 per cell]

=====

Material: Ta4Ir3Pt
Method: DFT, PBE
State: optimized geometry

Results
ΔE_f = -42.0 kJ/mol of atoms

Cell: 2.824 4.850 9.707 Å, 90.00 90.00 90.00°
Space group Pmmm (No. 47)
Inequivalent atoms, fractional coordinates:
Ta1 0.000 0.000 0.000 [1 per cell]
Ta2 0.000 0.000 0.500 [1 per cell]
Ta3 0.000 0.500 0.243 [2 per cell]
Ir1 0.500 0.000 0.254 [2 per cell]
Ir2 0.500 0.500 0.000 [1 per cell]
Pt1 0.500 0.500 0.500 [1 per cell]

=====

Material: Cr3Re
Method: DFT, PBE
State: optimized geometry

Results
ΔE_f = 1.3 kJ/mol of atoms

Cell: 2.931 4.149 8.254 Å, 90.00 90.00 90.00°
Space group Immm (No. 71)
Inequivalent atoms, fractional coordinates:
Cr1 0.000 0.000 0.000 [2 per cell]
Cr2 0.000 0.500 0.255 [4 per cell]
Re1 0.000 0.000 0.500 [2 per cell]

=====

Material: La2TlReC
Method: DFT, PBE
State: optimized geometry

Results
ΔE_f = -14.4 kJ/mol of atoms

Cell: 5.421 5.421 4.036 Å, 90.00 90.00 90.00°
Space group P4/mmm (No. 123)
Inequivalent atoms, fractional coordinates:
La1 0.000 0.500 0.000 [2 per cell]
Tl1 0.000 0.000 0.500 [1 per cell]
Re1 0.500 0.500 0.500 [1 per cell]
C1 0.500 0.500 0.000 [1 per cell]

=====

Material: Nb2HgB
Method: DFT, PBE
State: optimized geometry

Results
Relative energy among the computed polymorphs = 339 meV/atom
ΔE_f = 7.1 kJ/mol of atoms

Cell: 4.548 4.660 6.382 Å, 91.37 102.66 94.91°
Space group P1 (No. 1)
Inequivalent atoms, fractional coordinates:
Nb1 0.000 0.000 0.000 [1 per cell]
Nb2 0.136 0.499 0.326 [1 per cell]
Nb3 0.416 0.972 0.706 [1 per cell]
Nb4 0.563 0.007 0.285 [1 per cell]
Hg1 0.505 0.491 0.010 [1 per cell]
Hg2 0.766 0.509 0.639 [1 per cell]
B1 0.089 0.000 0.385 [1 per cell]
B2 0.917 0.028 0.603 [1 per cell]

=====

Material: NaBiPb4
Method: DFT, PBE
State: optimized geometry

Results
Relative energy among the computed polymorphs = 102 meV/atom
ΔE_f = 5.5 kJ/mol of atoms

Cell: 9.256 9.256 9.256 Å, 90.00 90.00 90.00°
Space group F-43m (No. 216)
Inequivalent atoms, fractional coordinates:
Na1 0.000 0.000 0.000 [4 per cell]
Bi1 0.250 0.250 0.250 [4 per cell]
Pb1 0.125 0.125 0.625 [16 per cell]

=====

Material: Ta2WAu
Method: DFT, PBE
State: optimized geometry

Results
Relative energy among the computed polymorphs = 85 meV/atom
ΔE_f = 3.8 kJ/mol of atoms

Cell: 4.436 4.436 3.541 Å, 90.00 90.00 90.00°
Space group P4/mmm (No. 123)
Inequivalent atoms, fractional coordinates:
Ta1 0.000 0.500 0.000 [2 per cell]
W1 0.000 0.000 0.500 [1 per cell]
Au1 0.500 0.500 0.500 [1 per cell]

=====

Material: Zr2TiZn5
Method: DFT, PBE
State: optimized geometry

Results
ΔE_f = -20.3 kJ/mol of atoms

Cell: 4.422 4.422 13.699 Å, 90.00 90.00 90.00°
Space group I4/mmm (No. 139)
Inequivalent atoms, fractional coordinates:
Zr1 0.000 0.000 0.247 [4 per cell]
Ti1 0.000 0.000 0.500 [2 per cell]
Zn1 0.000 0.000 0.000 [2 per cell]
Zn2 0.000 0.500 0.111 [8 per cell]

=====

Material: Nb2BiPd2
Method: DFT, PBE
State: optimized geometry

Results
Relative energy among the computed polymorphs = 15 meV/atom
ΔE_f = 4.9 kJ/mol of atoms

Cell: 8.036 8.036 2.983 Å, 90.00 90.00 90.00°
Space group P4/mbm (No. 127)
Inequivalent atoms, fractional coordinates:
Nb1 0.165 0.335 0.000 [4 per cell]
Bi1 0.000 0.000 0.500 [2 per cell]
Pd1 0.125 0.625 0.500 [4 per cell]

=====

Material: YGe2P2Pt7
Method: DFT, PBE
State: optimized geometry

Results
ΔE_f = -56.6 kJ/mol of atoms

Cell: 5.541 5.493 15.135 Å, 90.00 100.22 90.00°
Space group C2/m (No. 12)
Inequivalent atoms, fractional coordinates:
Y1 0.000 0.000 0.000 [2 per cell]
Ge1 0.241 0.000 0.431 [4 per cell]
P1 0.117 0.500 0.242 [4 per cell]
Pt1 0.000 0.500 0.000 [2 per cell]
Pt2 0.177 0.250 0.849 [8 per cell]
Pt3 0.182 0.500 0.397 [4 per cell]

=====

Material: Cs2Co3Br9
Method: DFT, PBE
State: optimized geometry

Results
Uncorrected formation energy = -643 meV per atom

Cell: 12.457 17.755 11.090 Å, 90.00 120.79 90.00°
Space group C2/m (No. 12)
Inequivalent atoms, fractional coordinates:
Cs1 0.073 0.158 0.296 [8 per cell]
Co1 0.124 0.500 0.835 [4 per cell]
Co2 0.174 0.385 0.190 [8 per cell]
Br1 0.000 0.295 0.000 [4 per cell]
Br2 0.040 0.400 0.292 [8 per cell]
Br3 0.187 0.214 0.662 [8 per cell]
Br4 0.195 0.000 0.675 [4 per cell]
Br5 0.237 0.500 0.716 [4 per cell]
Br6 0.248 0.400 0.020 [8 per cell]

=====

| no. | volume (Å³ per atom) | total energy (eV/atom) |
| --- | --- | --- |
| 1 | 25.30 | -3.53 |
| 2 | 31.47 | -5.47 |
| 3 | 16.62 | -10.44 |
| 4 | 12.55 | -10.32 |
| 5 | 23.72 | -6.93 |
| 6 | 16.42 | -6.71 |
| 7 | 33.05 | -3.28 |
| 8 | 17.42 | -9.94 |
| 9 | 16.74 | -4.13 |
| 10 | 19.26 | -6.83 |
| 11 | 18.89 | -6.32 |
| 12 | 37.63 | -3.36 |